A geometry-optimized LiAlRu2 structure, computed with PBE.

Cell and atoms, written as CIF:
```
data_LiAlRu2
_chemical_formula_sum 'Li2 Al2 Ru4'
_space_group_name_H-M_alt 'C m m m'
_space_group_IT_number 65
_space_group_name_Hall '-C 2 2'
_cell_length_a 2.9110
_cell_length_b 4.5538
_cell_length_c 8.4676
_cell_angle_alpha 90.00
_cell_angle_beta 90.00
_cell_angle_gamma 90.00
loop_
_atom_site_label
_atom_site_fract_x
_atom_site_fract_y
_atom_site_fract_z
_atom_site_occupancy
Li1 0.0000 0.0000 0.0000 1
Al1 0.0000 0.0000 0.5000 1
Ru1 0.0000 0.5000 0.2615 1
```

Properties
mass density	7.0	g/cm³
V	112	Å³ per cell
calculated total energy	-0.22425	Ha/atom



A geometry-optimized SbTePd2 structure, computed with PBE.

Cell and atoms, written as CIF:
```
data_SbTePd2
_chemical_formula_sum 'Sb1 Te1 Pd2'
_space_group_name_H-M_alt 'P 4/m m m'
_space_group_IT_number 123
_space_group_name_Hall '-P 4 2'
_cell_length_a 4.7245
_cell_length_b 4.7245
_cell_length_c 3.6099
_cell_angle_alpha 90.00
_cell_angle_beta 90.00
_cell_angle_gamma 90.00
loop_
_atom_site_label
_atom_site_fract_x
_atom_site_fract_y
_atom_site_fract_z
_atom_site_occupancy
Sb1 0.0000 0.0000 0.0000 1
Te1 0.5000 0.5000 0.0000 1
Pd1 0.0000 0.5000 0.5000 1
```

Properties
mass density	9.5	g/cm³
V	81	Å³ per cell
uncorrected formation energy	-202.2	meV/atom
calculated total energy	-0.16959	Ha/atom



A geometry-optimized Sm6DyEr12 structure, computed with PBE.

Cell and atoms, written as CIF:
```
data_Sm6DyEr12
_chemical_formula_sum 'Sm18 Dy3 Er36'
_space_group_name_H-M_alt 'R -3 m'
_space_group_IT_number 166
_space_group_name_Hall '-R 3 2"'
_cell_length_a 13.1376
_cell_length_b 13.1376
_cell_length_c 12.5503
_cell_angle_alpha 90.00
_cell_angle_beta 90.00
_cell_angle_gamma 120.00
loop_
_atom_site_label
_atom_site_fract_x
_atom_site_fract_y
_atom_site_fract_z
_atom_site_occupancy
Sm1 0.0387 0.5194 0.1175 1
Dy1 0.0000 0.0000 0.5000 1
Er1 0.0000 0.2572 0.0000 1
Er2 0.0910 0.1821 0.7642 1
```

Properties
mass density	8.2	g/cm³
energy relative to the lowest polymorph listed for this composition	0.095	eV per atom
V	1876	Å³ per cell
calculated total energy	-0.16156	Ha/atom



A geometry-optimized SrHgSb3 structure, computed with PBE.

Cell and atoms, written as CIF:
```
data_SrHgSb3
_chemical_formula_sum 'Sr1 Hg1 Sb3'
_space_group_name_H-M_alt 'P m -3 m'
_space_group_IT_number 221
_space_group_name_Hall '-P 4 2 3'
_cell_length_a 5.6225
_cell_length_b 5.6225
_cell_length_c 5.6225
_cell_angle_alpha 90.00
_cell_angle_beta 90.00
_cell_angle_gamma 90.00
loop_
_atom_site_label
_atom_site_fract_x
_atom_site_fract_y
_atom_site_fract_z
_atom_site_occupancy
Sr1 0.0000 0.0000 0.0000 1
Hg1 0.5000 0.5000 0.5000 1
Sb1 0.0000 0.5000 0.5000 1
```

Properties
mass density	6.1	g/cm³
energy relative to the lowest polymorph listed for this composition	0.000	eV per atom
V	178	Å³ per cell
uncorrected formation energy	148.6	meV/atom
calculated total energy	-0.10002	Ha/atom



A geometry-optimized NaY2Pb9 structure, computed with PBE.

Cell and atoms, written as CIF:
```
data_NaY2Pb9
_chemical_formula_sum 'Na1 Y2 Pb9'
_space_group_name_H-M_alt 'P 4/m m m'
_space_group_IT_number 123
_space_group_name_Hall '-P 4 2'
_cell_length_a 4.8479
_cell_length_b 4.8479
_cell_length_c 14.9297
_cell_angle_alpha 90.00
_cell_angle_beta 90.00
_cell_angle_gamma 90.00
loop_
_atom_site_label
_atom_site_fract_x
_atom_site_fract_y
_atom_site_fract_z
_atom_site_occupancy
Na1 0.0000 0.0000 0.0000 1
Y1 0.0000 0.0000 0.3371 1
Pb1 0.0000 0.5000 0.1661 1
Pb2 0.0000 0.5000 0.5000 1
Pb3 0.5000 0.5000 0.0000 1
Pb4 0.5000 0.5000 0.3315 1
```

Properties
mass density	9.8	g/cm³
V	351	Å³ per cell
calculated total energy	-0.15469	Ha/atom



A geometry-optimized Ac2TbSm structure, computed with PBE.

Cell and atoms, written as CIF:
```
data_Ac2TbSm
_chemical_formula_sum 'Ac2 Tb1 Sm1'
_space_group_name_H-M_alt 'P 4/m m m'
_space_group_IT_number 123
_space_group_name_Hall '-P 4 2'
_cell_length_a 5.4481
_cell_length_b 5.4481
_cell_length_c 5.1744
_cell_angle_alpha 90.00
_cell_angle_beta 90.00
_cell_angle_gamma 90.00
loop_
_atom_site_label
_atom_site_fract_x
_atom_site_fract_y
_atom_site_fract_z
_atom_site_occupancy
Ac1 0.0000 0.5000 0.0000 1
Tb1 0.0000 0.0000 0.5000 1
Sm1 0.5000 0.5000 0.5000 1
```

Properties
mass density	8.3	g/cm³
energy relative to the lowest polymorph listed for this composition	0.000	eV per atom
V	154	Å³ per cell
calculated total energy	-0.16004	Ha/atom



A geometry-optimized CrCuNi2 structure, computed with PBE.

Cell and atoms, written as CIF:
```
data_CrCuNi2
_chemical_formula_sum 'Cr4 Cu4 Ni8'
_space_group_name_H-M_alt 'I -4 2 d'
_space_group_IT_number 122
_space_group_name_Hall 'I -4 2bw'
_cell_length_a 6.3933
_cell_length_b 6.3933
_cell_length_c 4.9900
_cell_angle_alpha 90.00
_cell_angle_beta 90.00
_cell_angle_gamma 90.00
loop_
_atom_site_label
_atom_site_fract_x
_atom_site_fract_y
_atom_site_fract_z
_atom_site_occupancy
Cr1 0.0000 0.0000 0.0000 1
Cu1 0.0000 0.0000 0.5000 1
Ni1 0.2456 0.2500 0.1250 1
```

Properties
mass density	7.6	g/cm³
V	204	Å³ per cell
calculated total energy	-0.21314	Ha/atom



A geometry-optimized HgSb2Te structure, computed with PBE.

Cell and atoms, written as CIF:
```
data_HgSb2Te
_chemical_formula_sum 'Hg1 Sb2 Te1'
_space_group_name_H-M_alt 'P 1 2/m 1'
_space_group_IT_number 10
_cell_length_a 3.1403
_cell_length_b 4.3404
_cell_length_c 8.7627
_cell_angle_alpha 90.00
_cell_angle_beta 93.63
_cell_angle_gamma 90.00
loop_
_space_group_symop_operation_xyz
'x,y,z'
'-x,-y,-z'
'-x,y,-z'
'x,-y,z'
loop_
_atom_site_label
_atom_site_fract_x
_atom_site_fract_y
_atom_site_fract_z
_atom_site_occupancy
Hg1 0.0000 0.0000 0.0000 1
Sb1 0.0295 0.5000 0.7631 1
Te1 0.0000 0.0000 0.5000 1
```

Properties
mass density	8.0	g/cm³
energy relative to the lowest polymorph listed for this composition	0.009	eV per atom
V	119	Å³ per cell
uncorrected formation energy	42.5	meV/atom
calculated total energy	-0.10582	Ha/atom



A geometry-optimized Pr12Zn6Pd structure, computed with PBE.

Cell and atoms, written as CIF:
```
data_Pr12Zn6Pd
_chemical_formula_sum 'Pr36 Zn18 Pd3'
_space_group_name_H-M_alt 'R -3'
_space_group_IT_number 148
_space_group_name_Hall '-R 3'
_cell_length_a 11.2662
_cell_length_b 11.2662
_cell_length_c 14.3987
_cell_angle_alpha 90.00
_cell_angle_beta 90.00
_cell_angle_gamma 120.00
loop_
_atom_site_label
_atom_site_fract_x
_atom_site_fract_y
_atom_site_fract_z
_atom_site_occupancy
Pr1 0.0287 0.1909 0.3305 1
Pr2 0.0590 0.8484 0.9030 1
Zn1 0.0447 0.4400 0.2054 1
Pd1 0.0000 0.0000 0.5000 1
```

Properties
mass density	6.9	g/cm³
V	1583	Å³ per cell
calculated total energy	-0.13985	Ha/atom



A geometry-optimized CeTm5Ru3 structure, computed with PBE.

Cell and atoms, written as CIF:
```
data_CeTm5Ru3
_chemical_formula_sum 'Ce4 Tm20 Ru12'
_space_group_name_H-M_alt 'C 1 2/m 1'
_space_group_IT_number 12
_cell_length_a 12.0270
_cell_length_b 8.8896
_cell_length_c 9.6596
_cell_angle_alpha 90.00
_cell_angle_beta 108.72
_cell_angle_gamma 90.00
loop_
_space_group_symop_operation_xyz
'x,y,z'
'-x,-y,-z'
'-x,y,-z'
'x,-y,z'
'x+1/2,y+1/2,z'
'-x+1/2,-y+1/2,-z'
'-x+1/2,y+1/2,-z'
'x+1/2,-y+1/2,z'
loop_
_atom_site_label
_atom_site_fract_x
_atom_site_fract_y
_atom_site_fract_z
_atom_site_occupancy
Ce1 0.0803 0.0000 0.2857 1
Tm1 0.0000 0.3063 0.0000 1
Tm2 0.0332 0.5000 0.3475 1
Tm3 0.1874 0.1936 0.6488 1
Tm4 0.2378 0.0000 0.0448 1
Ru1 0.0000 0.0000 0.0000 1
Ru2 0.0000 0.0000 0.5000 1
Ru3 0.1604 0.5000 0.1670 1
Ru4 0.2065 0.5000 0.6259 1
```

Properties
mass density	8.7	g/cm³
V	978	Å³ per cell
calculated total energy	-0.23912	Ha/atom



A geometry-optimized Be3AgPb structure, computed with PBE.

Cell and atoms, written as CIF:
```
data_Be3AgPb
_chemical_formula_sum 'Be3 Ag1 Pb1'
_space_group_name_H-M_alt 'P m -3 m'
_space_group_IT_number 221
_space_group_name_Hall '-P 4 2 3'
_cell_length_a 4.6597
_cell_length_b 4.6597
_cell_length_c 4.6597
_cell_angle_alpha 90.00
_cell_angle_beta 90.00
_cell_angle_gamma 90.00
loop_
_atom_site_label
_atom_site_fract_x
_atom_site_fract_y
_atom_site_fract_z
_atom_site_occupancy
Be1 0.0000 0.0000 0.5000 1
Ag1 0.5000 0.5000 0.5000 1
Pb1 0.0000 0.0000 0.0000 1
```

Properties
mass density	5.6	g/cm³
energy relative to the lowest polymorph listed for this composition	0.626	eV per atom
V	101	Å³ per cell
calculated total energy	-0.07935	Ha/atom



A geometry-optimized CsCdHgCl6 structure, computed with PBE.

Cell and atoms, written as CIF:
```
data_CsCdHgCl6
_chemical_formula_sum 'Cs2 Cd2 Hg2 Cl12'
_space_group_name_H-M_alt 'C 1 2 1'
_space_group_IT_number 5
_cell_length_a 6.9092
_cell_length_b 11.9995
_cell_length_c 7.6898
_cell_angle_alpha 90.00
_cell_angle_beta 90.11
_cell_angle_gamma 90.00
loop_
_space_group_symop_operation_xyz
'x,y,z'
'-x,y,-z'
'x+1/2,y+1/2,z'
'-x+1/2,y+1/2,-z'
loop_
_atom_site_label
_atom_site_fract_x
_atom_site_fract_y
_atom_site_fract_z
_atom_site_occupancy
Cs1 0.0000 0.0000 0.0000 1
Cd1 0.0000 0.3338 0.5000 1
Hg1 0.0000 0.6667 0.5000 1
Cl1 0.1120 0.5005 0.2967 1
Cl2 0.1933 0.8056 0.2964 1
Cl3 0.1950 0.1936 0.2973 1
```

Properties
mass density	3.4	g/cm³
V	638	Å³ per cell
uncorrected formation energy	-937.1	meV/atom
calculated total energy	-0.08813	Ha/atom



What is the mass density in the seventh record? 7.6 g/cm³



Which formula does entry 6 have? Ac2TbSm



What did the seventh record say?
A geometry-optimized CrCuNi2 structure, computed with PBE.

Cell and atoms, written as CIF:
```
data_CrCuNi2
_chemical_formula_sum 'Cr4 Cu4 Ni8'
_space_group_name_H-M_alt 'I -4 2 d'
_space_group_IT_number 122
_space_group_name_Hall 'I -4 2bw'
_cell_length_a 6.3933
_cell_length_b 6.3933
_cell_length_c 4.9900
_cell_angle_alpha 90.00
_cell_angle_beta 90.00
_cell_angle_gamma 90.00
loop_
_atom_site_label
_atom_site_fract_x
_atom_site_fract_y
_atom_site_fract_z
_atom_site_occupancy
Cr1 0.0000 0.0000 0.0000 1
Cu1 0.0000 0.0000 0.5000 1
Ni1 0.2456 0.2500 0.1250 1
```

Properties
mass density	7.6	g/cm³
V	204	Å³ per cell
calculated total energy	-0.21314	Ha/atom



Copy entry 12 word for word.
A geometry-optimized CsCdHgCl6 structure, computed with PBE.

Cell and atoms, written as CIF:
```
data_CsCdHgCl6
_chemical_formula_sum 'Cs2 Cd2 Hg2 Cl12'
_space_group_name_H-M_alt 'C 1 2 1'
_space_group_IT_number 5
_cell_length_a 6.9092
_cell_length_b 11.9995
_cell_length_c 7.6898
_cell_angle_alpha 90.00
_cell_angle_beta 90.11
_cell_angle_gamma 90.00
loop_
_space_group_symop_operation_xyz
'x,y,z'
'-x,y,-z'
'x+1/2,y+1/2,z'
'-x+1/2,y+1/2,-z'
loop_
_atom_site_label
_atom_site_fract_x
_atom_site_fract_y
_atom_site_fract_z
_atom_site_occupancy
Cs1 0.0000 0.0000 0.0000 1
Cd1 0.0000 0.3338 0.5000 1
Hg1 0.0000 0.6667 0.5000 1
Cl1 0.1120 0.5005 0.2967 1
Cl2 0.1933 0.8056 0.2964 1
Cl3 0.1950 0.1936 0.2973 1
```

Properties
mass density	3.4	g/cm³
V	638	Å³ per cell
uncorrected formation energy	-937.1	meV/atom
calculated total energy	-0.08813	Ha/atom